[1]
VASP calculation (PBE-GGA) on a relaxed structure of TmReC2.

a b c (Å): 5.593 3.292 10.777
angles (deg): 90.00 90.00 90.00
Space group Pnma (No. 62)
Unique sites:
Tm  0.098  0.250  0.132 [4 per cell]
Re  0.105  0.750  0.382 [4 per cell]
C  0.152  0.250  0.753 [4 per cell]
C  0.224  0.250  0.486 [4 per cell]

Summary:
Offset from the most stable computed form in kJ/mol of atoms: 0.0
Density of states at the Fermi level in states/eV/cell: 3.04
Formation enthalpy at 0 K in eV per atom: -0.217
Energy in eV per atom: -9.059


[2]
VASP calculation (PBE-GGA) on a relaxed structure of TmZrAl2.

a b c (Å): 6.931 6.931 6.931
angles (deg): 90.00 90.00 90.00
Space group Fm-3m (No. 225)
Unique sites:
Tm  0.000  0.000  0.000 [4 per cell]
Zr  0.000  0.000  0.500 [4 per cell]
Al  0.250  0.250  0.250 [8 per cell]

Summary:
Offset from the most stable computed form in kJ/mol of atoms: 5.1
Density of states at the Fermi level in states/eV/cell: 15.14
Formation enthalpy at 0 K in eV per atom: -0.304
Energy in eV per atom: -5.430


[3]
VASP calculation (PBE-GGA) on a relaxed structure of BaZnBN2.

a b c (Å): 4.330 4.330 4.100
angles (deg): 90.00 90.00 90.00
Space group P4/mmm (No. 123)
Unique sites:
Ba  0.000  0.000  0.000 [1 per cell]
Zn  0.500  0.500  0.500 [1 per cell]
B  0.500  0.500  0.000 [1 per cell]
N  0.000  0.500  0.500 [2 per cell]

Summary:
Formation energy (no corrections) in eV/atom: 1.1435
Offset from the most stable computed form in kJ/mol of atoms: 0.0
Density of states at the Fermi level in states/eV/cell: 2.93
Energy in eV per atom: -4.162


energy of number 2 (TmZrAl2)?
-5.430 eV per atom